A relaxed structure of PmTm3Sc6, computed with GGA-PBE.

Results
The symmetry is Cmc2_1 (36). The value obtained for the polymorph energy (0 for the lowest one) is 0.0 meV per atom. The total energy is -109.20 eV for the cell shown. The formation energy from the elements is 0.16 eV per atom.

Cell: 5.845 10.342 10.342 Å, 119.43 90.00 90.00°
Sites, in units of the cell vectors:
Pm (0.175, 0.212, 0.788)
Pm (0.675, 0.788, 0.212)
Tm (0.467, 0.927, 0.718)
Tm (0.967, 0.718, 0.927)
Tm (0.065, 0.396, 0.604)
Tm (0.565, 0.604, 0.396)
Tm (0.967, 0.073, 0.282)
Tm (0.467, 0.282, 0.073)
Sc (0.015, 0.722, 0.616)
Sc (0.515, 0.616, 0.722)
Sc (0.361, 0.548, 0.978)
Sc (0.861, 0.978, 0.548)
Sc (0.427, 0.951, 0.049)
Sc (0.632, 0.294, 0.706)
Sc (0.132, 0.706, 0.294)
Sc (0.927, 0.049, 0.951)
Sc (0.361, 0.022, 0.452)
Sc (0.861, 0.452, 0.022)
Sc (0.015, 0.384, 0.278)
Sc (0.515, 0.278, 0.384)